VASP calculation (PBE) on a geometry-optimized Ti12Sn5Pd3 structure.

The value obtained for the total energy is -6.10 eV/atom. The value obtained for the volume is 23.74 A^3/atom. The total magnetization comes out at 8.1 μB per formula unit.

The structure belongs to space group Ia-3d (No. 230); the cell edges are 15.6028, 15.6028 and 15.6028 Å and the angles 90.00°, 90.00° and 90.00°. The inequivalent atoms are Ti at (0.0057, 0.0841, 0.6518), Sn at (0.0000, 0.0000, 0.0000), Sn at (0.0000, 0.2500, 0.3750) and Pd at (0.0000, 0.2500, 0.1250).

VASP calculation (PBE) on a geometry-optimized CSeS2 structure.

The value obtained for the formation energy from raw total energies is 27.1 kcal/mol of atoms. The polymorph energy (0 for the lowest one) comes out at 1.91 eV per formula unit. The value obtained for the volume is 16.39 A^3/atom. The total magnetization comes out at 0.0 μB per formula unit.

The structure belongs to space group I-42d (No. 122); the cell edges are 6.0210, 6.0210 and 7.2344 Å and the angles 90.00°, 90.00° and 90.00°. The inequivalent atoms are C at (0.0000, 0.0000, 0.0000), Se at (0.0000, 0.0000, 0.5000) and S at (0.1434, 0.7500, 0.1250).

VASP calculation (PBE) on a geometry-optimized NdGa2Pt structure.

The value obtained for the total energy is -5.03 eV/atom. The value obtained for the volume is 20.10 A^3/atom. The total magnetization comes out at 0.0 μB per formula unit.

The structure belongs to space group Pnma (No. 62); the cell edges are 8.2692, 6.7511 and 5.7597 Å and the angles 90.00°, 90.00° and 90.00°. The inequivalent atoms are Nd at (0.0446, 0.2500, 0.1277), Ga at (0.1799, 0.0551, 0.6180) and Pt at (0.0979, 0.7500, 0.3608).

VASP calculation (PBE) on a geometry-optimized La3Pm13 structure.

The polymorph energy (0 for the lowest one) comes out at 0.00 eV per formula unit. The value obtained for the volume is 34.94 A^3/atom. The total magnetization comes out at 0.0 μB per formula unit.

The structure belongs to space group Amm2 (No. 38); the cell edges are 10.4027, 10.3589 and 10.3768 Å and the angles 90.00°, 90.00° and 90.00°. The inequivalent atoms are La at (0.0000, 0.0000, 0.0000), La at (0.2504, 0.0000, 0.2527), Pm at (0.0000, 0.0000, 0.5039), Pm at (0.0000, 0.2491, 0.7519), Pm at (0.2512, 0.2505, 0.0021), Pm at (0.2516, 0.0000, 0.7514), Pm at (0.5000, 0.0000, 0.0013), Pm at (0.5000, 0.0000, 0.5032) and Pm at (0.5000, 0.2484, 0.7522).